No. 1
Cr4Ag3 | Alexandria via LeMat-Bulk | PBE | relaxed; energy of formation = 0.3673 eV/atom
1.0
3.011 0.000 0.000
0.000 3.011 0.000
0.000 0.000 23.885
Cr Ag
8 6
direct
0.000 0.000 0.080
0.000 0.000 0.371
0.000 0.000 0.629
0.000 0.000 0.920
0.500 0.500 0.129
0.500 0.500 0.420
0.500 0.500 0.580
0.500 0.500 0.871
0.000 0.000 0.209
0.000 0.000 0.500
0.000 0.000 0.791
0.500 0.500 0.000
0.500 0.500 0.291
0.500 0.500 0.709

---

No. 2
MgZrBi | Alexandria via LeMat-Bulk | PBE | relaxed; energy of formation = -0.0398 eV/atom; offset from the most stable computed form = 0.957 eV per formula unit
1.0
3.671 0.000 0.000
0.000 3.671 0.000
0.000 0.000 10.700
Mg Zr Bi
2 2 2
direct
0.000 0.000 0.000
0.500 0.500 0.500
0.000 0.000 0.662
0.500 0.500 0.162
0.000 0.000 0.334
0.500 0.500 0.834

---

No. 3
MgIr2Rh | Alexandria via LeMat-Bulk | PBE | relaxed; energy of formation = -0.2079 eV/atom
1.0
9.191 0.000 0.000
0.000 2.774 0.000
-0.805 0.000 4.637
Mg Ir Rh
2 4 2
direct
0.000 0.000 0.000
0.500 0.500 0.000
0.244 0.000 0.744
0.256 0.500 0.256
0.744 0.500 0.744
0.756 0.000 0.256
0.000 0.500 0.500
0.500 0.000 0.500

---

No. 4
Here is a relaxed CsYHRh2 crystal from Alexandria via LeMat-Bulk. Energies are from PBE.

```
CsYHRh2
1.0
5.294 0.000 0.000
0.000 5.294 0.000
0.000 0.000 4.229
Cs Y H Rh
1 1 1 2
direct
0.000 0.000 0.000
0.500 0.500 0.500
0.500 0.500 0.000
0.000 0.500 0.500
0.500 0.000 0.500
```

---

No. 5
Mg2Co12P7 | Alexandria via LeMat-Bulk | PBE | relaxed; energy of formation = -0.6259 eV/atom
1.0
8.971 0.000 0.000
-4.486 7.769 0.000
0.000 0.000 3.459
Mg Co P
2 12 7
direct
0.000 0.000 0.000
0.333 0.667 0.500
0.048 0.776 0.500
0.110 0.400 0.000
0.224 0.273 0.500
0.290 0.890 0.000
0.393 0.212 0.000
0.533 0.093 0.500
0.561 0.467 0.500
0.600 0.710 0.000
0.727 0.952 0.500
0.788 0.181 0.000
0.819 0.607 0.000
0.907 0.439 0.500
0.073 0.624 0.000
0.261 0.041 0.500
0.376 0.449 0.000
0.551 0.927 0.000
0.667 0.333 0.000
0.780 0.739 0.500
0.959 0.220 0.500

---

No. 6
AcInIr2 | Alexandria via LeMat-Bulk | PBE | relaxed; energy of formation = -0.1433 eV/atom
1.0
4.673 0.000 0.000
0.000 4.673 0.000
0.000 0.000 3.895
Ac In Ir
1 1 2
direct
0.000 0.000 0.000
0.500 0.500 0.000
0.000 0.500 0.500
0.500 0.000 0.500

---

No. 7
SrPOs | Alexandria via LeMat-Bulk | PBE | relaxed; energy of formation = 0.5180 eV/atom
1.0
6.375 0.000 0.000
0.000 6.375 0.000
0.000 0.000 6.375
Sr P Os
4 4 4
direct
0.000 0.000 0.000
0.000 0.500 0.500
0.500 0.000 0.500
0.500 0.500 0.000
0.250 0.250 0.250
0.250 0.750 0.750
0.750 0.250 0.750
0.750 0.750 0.250
0.000 0.000 0.500
0.000 0.500 0.000
0.500 0.000 0.000
0.500 0.500 0.500

---

No. 8
ScFeIr4 | Alexandria via LeMat-Bulk | PBE | relaxed; energy of formation = -0.1642 eV/atom
1.0
0.000 3.664 3.664
3.664 0.000 3.664
3.664 3.664 0.000
Sc Fe Ir
1 1 4
direct
0.000 0.000 0.000
0.750 0.750 0.750
0.375 0.375 0.375
0.375 0.375 0.875
0.375 0.875 0.375
0.875 0.375 0.375

---

| no. | final energy (hartree per atom) | DOS(E_F) (states/eV per atom) |
| --- | --- | --- |
| 1 | -0.2335 | 0.649 |
| 2 | -0.1732 | 1.321 |
| 3 | -0.2526 | 1.060 |
| 4 | -0.1645 | 0.540 |
| 5 | -0.2441 | 0.699 |
| 6 | -0.2310 | 0.408 |
| 7 | -0.2054 | 0.954 |
| 8 | -0.3137 | 1.126 |